1 | ! HoEr2Sb, optimized geometry, DFT PBE; values from VASP
! Spin magnetization = 0.0 μB per cell
! Volume = 112 Å³/cell
&SYSTEM
  ibrav = 0, nat = 4, ntyp = 3
/
ATOMIC_SPECIES
Sb 121.76 Sb.upf
Ho 164.93 Ho.upf
Er 167.26 Er.upf
ATOMIC_POSITIONS crystal
Sb 0.5000 0.5000 0.0000
Ho 0.5000 0.5000 0.5000
Er 0.0000 0.0000 0.7699
Er 0.0000 0.0000 0.2301
CELL_PARAMETERS angstrom
4.0214 0.0000 0.0000
0.0000 4.0214 0.0000
0.0000 0.0000 6.9286

2 | ! HoEr2Sb, optimized geometry, DFT PBE; values from VASP
! Spin magnetization = 0.8 μB per cell
! Volume = 128 Å³/cell
&SYSTEM
  ibrav = 0, nat = 4, ntyp = 3
/
ATOMIC_SPECIES
Sb 121.76 Sb.upf
Ho 164.93 Ho.upf
Er 167.26 Er.upf
ATOMIC_POSITIONS crystal
Sb 0.0000 0.0000 0.0000
Ho 0.5000 0.5000 0.5000
Er 0.2657 0.2657 0.2028
Er 0.7343 0.7343 0.7972
CELL_PARAMETERS angstrom
-1.8897 2.8752 -1.8758
-2.9108 1.9223 1.7856
4.7301 7.9979 3.4008

Which of them is the most stable? Correct choice: 1.

1 | ! Ho8ErSc2, optimized geometry, DFT PBE; values from VASP
! Spin magnetization = 0.0 μB per cell
! Volume = 334 Å³/cell
&SYSTEM
  ibrav = 0, nat = 11, ntyp = 3
/
ATOMIC_SPECIES
Ho 164.93 Ho.upf
Er 167.26 Er.upf
Sc 44.96 Sc.upf
ATOMIC_POSITIONS crystal
Ho 0.8169 0.0965 0.2454
Ho 0.8169 0.3419 0.7546
Ho 0.2905 0.4364 0.0000
Ho 0.5000 0.7935 0.4131
Ho 0.5000 0.2065 0.5869
Ho 0.7095 0.5636 0.0000
Ho 0.1831 0.6581 0.2454
Ho 0.1831 0.9035 0.7546
Er 0.5000 0.0000 0.0000
Sc 0.0000 0.3106 0.3787
Sc 0.0000 0.6894 0.6213
CELL_PARAMETERS angstrom
5.5107 1.6751 0.0000
2.6996 8.4161 0.0000
1.3498 4.2080 7.9703

2 | ! Ho8ErSc2, optimized geometry, DFT PBE; values from VASP
! Spin magnetization = 0.0 μB per cell
! Volume = 334 Å³/cell
&SYSTEM
  ibrav = 0, nat = 11, ntyp = 3
/
ATOMIC_SPECIES
Ho 164.93 Ho.upf
Er 167.26 Er.upf
Sc 44.96 Sc.upf
ATOMIC_POSITIONS crystal
Ho 0.3022 0.3426 0.8636
Ho 0.6978 0.1364 0.6574
Ho 0.3253 0.7889 0.7889
Ho 0.6747 0.2111 0.2111
Ho 0.3022 0.8636 0.3426
Ho 0.6978 0.6574 0.1364
Ho 0.7560 0.5647 0.5647
Ho 0.2440 0.4353 0.4353
Er 0.0000 0.0000 0.0000
Sc 0.8956 0.7215 0.7215
Sc 0.1044 0.2785 0.2785
CELL_PARAMETERS angstrom
6.1090 0.4963 1.7033
1.0169 7.4148 5.1554
0.4259 1.9635 8.8631

Which of them is the most stable? Correct choice: 1.

1 | ! Ho5Er2Sc, optimized geometry, DFT PBE; values from VASP
! Spin magnetization = 0.0 μB per cell
! Volume = 243 Å³/cell
&SYSTEM
  ibrav = 0, nat = 8, ntyp = 3
/
ATOMIC_SPECIES
Ho 164.93 Ho.upf
Er 167.26 Er.upf
Sc 44.96 Sc.upf
ATOMIC_POSITIONS crystal
Ho 0.2370 0.3186 0.5001
Ho 0.3215 0.7390 0.0001
Ho 0.8169 0.2343 0.0000
Ho 0.7369 0.8186 0.4998
Ho 0.3207 0.2350 0.0000
Er 0.2311 0.8168 0.4921
Er 0.7391 0.3248 0.5080
Sc 0.8198 0.7358 0.9999
CELL_PARAMETERS angstrom
-2.4754 6.3873 -1.9469
2.7100 -4.4143 -4.8871
-5.1392 -3.1769 2.6120

2 | ! Ho5Er2Sc, optimized geometry, DFT PBE; values from VASP
! Spin magnetization = 0.0 μB per cell
! Volume = 481 Å³/cell
&SYSTEM
  ibrav = 0, nat = 16, ntyp = 3
/
ATOMIC_SPECIES
Ho 164.93 Ho.upf
Er 167.26 Er.upf
Sc 44.96 Sc.upf
ATOMIC_POSITIONS crystal
Ho 0.4875 0.6822 0.6697
Ho 0.8178 0.0125 0.3303
Ho 0.0000 0.0000 0.0000
Ho 0.5000 0.5000 0.0000
Ho 0.1822 0.9875 0.6697
Ho 0.6822 0.1822 0.6697
Ho 0.9875 0.4875 0.6697
Ho 0.3178 0.8178 0.3303
Ho 0.0125 0.5125 0.3303
Ho 0.5125 0.3178 0.3303
Er 0.1421 0.3579 0.0000
Er 0.6421 0.1421 0.0000
Er 0.3579 0.8579 0.0000
Er 0.8579 0.6421 0.0000
Sc 0.7500 0.7500 0.5000
Sc 0.2500 0.2500 0.5000
CELL_PARAMETERS angstrom
-2.7618 0.1832 -8.3892
7.7286 -3.3844 -2.6183
-4.7632 -4.0900 6.1300

Which of them is the most stable? Correct choice: 1.

1 | ! Ho12ErSc6, optimized geometry, DFT PBE; values from VASP
! Spin magnetization = 0.0 μB per cell
! Volume = 561 Å³/cell
&SYSTEM
  ibrav = 0, nat = 19, ntyp = 3
/
ATOMIC_SPECIES
Ho 164.93 Ho.upf
Er 167.26 Er.upf
Sc 44.96 Sc.upf
ATOMIC_POSITIONS crystal
Ho 0.2665 0.0708 0.8044
Ho 0.2665 0.4621 0.1956
Ho 0.7335 0.5379 0.8044
Ho 0.7335 0.9292 0.1956
Ho 0.0708 0.8044 0.2665
Ho 0.4621 0.1956 0.2665
Ho 0.5379 0.8044 0.7335
Ho 0.9292 0.1956 0.7335
Ho 0.8044 0.2665 0.0708
Ho 0.1956 0.2665 0.4621
Ho 0.8044 0.7335 0.5379
Ho 0.1956 0.7335 0.9292
Er 0.0000 0.0000 0.0000
Sc 0.3621 0.5000 0.8621
Sc 0.6379 0.5000 0.1379
Sc 0.5000 0.8621 0.3621
Sc 0.5000 0.1379 0.6379
Sc 0.8621 0.3621 0.5000
Sc 0.1379 0.6379 0.5000
CELL_PARAMETERS angstrom
9.0012 0.0000 0.0000
-3.0004 8.4865 0.0000
-3.0004 -4.2432 7.3495

2 | ! Ho12ErSc6, optimized geometry, DFT PBE; values from VASP
! Spin magnetization = 0.0 μB per cell
! Volume = 554 Å³/cell
&SYSTEM
  ibrav = 0, nat = 19, ntyp = 3
/
ATOMIC_SPECIES
Ho 164.93 Ho.upf
Er 167.26 Er.upf
Sc 44.96 Sc.upf
ATOMIC_POSITIONS crystal
Ho 0.8043 0.1957 0.5000
Ho 0.3916 0.1780 0.4044
Ho 0.5125 0.5125 0.2018
Ho 0.8220 0.6084 0.5956
Ho 0.4875 0.4875 0.7982
Ho 0.6084 0.8220 0.5956
Ho 0.6322 0.9270 0.0196
Ho 0.0730 0.3678 0.9804
Ho 0.1957 0.8043 0.5000
Ho 0.3678 0.0730 0.9804
Ho 0.9270 0.6322 0.0196
Ho 0.1780 0.3916 0.4044
Er 0.0000 0.0000 0.0000
Sc 0.6288 0.2002 0.7862
Sc 0.8957 0.8957 0.3233
Sc 0.2002 0.6288 0.7862
Sc 0.1043 0.1043 0.6767
Sc 0.3712 0.7998 0.2138
Sc 0.7998 0.3712 0.2138
CELL_PARAMETERS angstrom
8.7266 -2.0467 -1.6400
-3.0917 8.4128 -1.6399
-0.4804 -0.5426 8.5424

Which of them is the most stable? Correct choice: 2.

1 | ! HoEr7Sc4, optimized geometry, DFT PBE; values from VASP
! Spin magnetization = 0.5 μB per cell
! Volume = 351 Å³/cell
&SYSTEM
  ibrav = 0, nat = 12, ntyp = 3
/
ATOMIC_SPECIES
Ho 164.93 Ho.upf
Er 167.26 Er.upf
Sc 44.96 Sc.upf
ATOMIC_POSITIONS crystal
Ho 0.0000 0.0000 0.0000
Er 0.7930 0.8807 0.5333
Er 0.2070 0.1193 0.4667
Er 0.0867 0.5581 0.2686
Er 0.9133 0.4419 0.7314
Er 0.2454 0.7202 0.7890
Er 0.5000 0.0000 0.0000
Er 0.7546 0.2798 0.2110
Sc 0.5526 0.2965 0.5983
Sc 0.4474 0.7035 0.4017
Sc 0.6696 0.6539 0.0069
Sc 0.3304 0.3461 0.9931
CELL_PARAMETERS angstrom
-4.9463 0.6866 -2.7276
-6.5816 -3.0443 5.2337
-4.4321 5.9189 3.5921

2 | ! HoEr7Sc4, optimized geometry, DFT PBE; values from VASP
! Spin magnetization = 0.0 μB per cell
! Volume = 341 Å³/cell
&SYSTEM
  ibrav = 0, nat = 12, ntyp = 3
/
ATOMIC_SPECIES
Ho 164.93 Ho.upf
Er 167.26 Er.upf
Sc 44.96 Sc.upf
ATOMIC_POSITIONS crystal
Ho 0.0000 0.0000 0.0000
Er 0.7420 0.5030 0.0041
Er 0.2580 0.4970 0.9959
Er 0.0841 0.2828 0.6608
Er 0.9159 0.7172 0.3392
Er 0.3365 0.7768 0.6635
Er 0.5000 0.0000 0.0000
Er 0.6635 0.2232 0.3365
Sc 0.4077 0.7242 0.3378
Sc 0.5923 0.2758 0.6622
Sc 0.8396 0.7826 0.6604
Sc 0.1604 0.2174 0.3396
CELL_PARAMETERS angstrom
-6.4740 2.1684 1.0486
-1.9658 -5.6295 -0.5338
-6.1790 -0.8180 8.9937

Which of them is the most stable? Correct choice: 2.

1 | ! Ho2ErSc, optimized geometry, DFT PBE; values from VASP
! Spin magnetization = 0.0 μB per cell
! Volume = 466 Å³/cell
&SYSTEM
  ibrav = 0, nat = 16, ntyp = 3
/
ATOMIC_SPECIES
Ho 164.93 Ho.upf
Er 167.26 Er.upf
Sc 44.96 Sc.upf
ATOMIC_POSITIONS crystal
Ho 0.7537 0.9970 0.8750
Ho 0.2463 0.0030 0.1250
Ho 0.7465 0.5028 0.6250
Ho 0.2535 0.4972 0.3750
Ho 0.7530 0.4963 0.1250
Ho 0.2470 0.5037 0.8750
Ho 0.7472 0.0036 0.3750
Ho 0.2528 0.9964 0.6250
Er 0.2522 0.0022 0.3750
Er 0.7478 0.9978 0.6250
Er 0.2480 0.4980 0.1250
Er 0.7520 0.5020 0.8750
Sc 0.2529 0.5027 0.6250
Sc 0.7471 0.4973 0.3750
Sc 0.2474 0.9973 0.8749
Sc 0.7526 0.0027 0.1251
CELL_PARAMETERS angstrom
-4.7395 -5.0128 -0.2712
1.5973 -1.9347 6.4320
-13.0493 3.0858 -3.1762

2 | ! Ho2ErSc, optimized geometry, DFT PBE; values from VASP
! Spin magnetization = 0.0 μB per cell
! Volume = 117 Å³/cell
&SYSTEM
  ibrav = 0, nat = 4, ntyp = 3
/
ATOMIC_SPECIES
Ho 164.93 Ho.upf
Er 167.26 Er.upf
Sc 44.96 Sc.upf
ATOMIC_POSITIONS crystal
Ho 0.0811 0.0811 0.7568
Ho 0.2522 0.2522 0.2433
Er 0.5003 0.5003 0.4992
Sc 0.6664 0.6664 0.0008
CELL_PARAMETERS angstrom
3.4936 0.0000 0.0000
1.7468 3.0255 0.0000
1.7468 1.0085 11.0698

Which of them is the most stable? Correct choice: 2.